PrSm2MoO8: optimized geometry, PBE+U.

abc: 5.1667 7.0548 5.1701
angles: 90.00 90.28 90.00
Fractional positions:
Pr1 0.0000 0.0000 0.0000
Sm1 0.5000 0.2559 0.5000
Sm2 0.5000 0.7441 0.5000
Mo1 0.0000 0.5000 0.0000
O1 0.1805 0.2969 0.8183
O2 0.1805 0.7031 0.8183
O3 0.2692 0.5000 0.2675
O4 0.3148 0.0000 0.3129
O5 0.6852 0.0000 0.6871
O6 0.7308 0.5000 0.7325
O7 0.8195 0.2969 0.1817
O8 0.8195 0.7031 0.1817

Computed properties:
The calculated total energy is -7.651 eV per atom.